a | VASP calculation (PBE-GGA) on a relaxed structure of Mn3GeOs.

Output
Space group: Pm-3m, No. 221
Density: 9.64 g/cm³

a = 4.1921 Å, b = 4.1921 Å, c = 4.1921 Å
α = 90.00°, β = 90.00°, γ = 90.00°
Atoms (fractional coordinates):
Ge  0.0000  0.0000  0.0000
Mn  0.0000  0.5000  0.0000
Mn  0.5000  0.0000  0.0000
Os  0.5000  0.5000  0.5000
Mn  0.0000  0.0000  0.5000

b | VASP calculation (PBE-GGA) on a relaxed structure of Mn3GeOs.

Output
Space group: Pm-3m, No. 221
Density: 7.23 g/cm³

a = 4.6150 Å, b = 4.6150 Å, c = 4.6150 Å
α = 90.00°, β = 90.00°, γ = 90.00°
Each line ends with the local moment (μB).
Atoms (fractional coordinates):
Mn  0.0000  0.5000  0.0000  3.12
Mn  0.0000  0.0000  0.5000  3.06
Mn  0.5000  0.0000  0.0000  3.10
Os  0.0000  0.0000  0.0000  -0.52
Ge  0.5000  0.5000  0.5000  -0.17

Energy above the most stable structure, in eV/atom: a 0.366; b 0.000

a | VASP calculation (PBE-GGA) on a relaxed structure of Pa2Mn2Ge.

Output
Space group: C2/c, No. 15
Density: 11.83 g/cm³

a = 5.5131 Å, b = 5.5131 Å, c = 8.0066 Å
α = 73.82°, β = 73.82°, γ = 51.47°
Atoms (fractional coordinates):
Ge  0.8834  0.1166  0.7500
Ge  0.1166  0.8834  0.2500
Mn  0.0135  0.2602  0.9583
Mn  0.2602  0.0135  0.4583
Pa  0.4811  0.2136  0.1298
Pa  0.2136  0.4811  0.6298
Pa  0.5189  0.7864  0.8702
Mn  0.7398  0.9865  0.5417
Pa  0.7864  0.5189  0.3702
Mn  0.9865  0.7398  0.0417

b | VASP calculation (PBE-GGA) on a relaxed structure of Pa2Mn2Ge.

Output
Space group: Immm, No. 71
Density: 12.12 g/cm³

a = 4.2226 Å, b = 5.1250 Å, c = 5.1250 Å
α = 66.11°, β = 65.67°, γ = 65.67°
Atoms (fractional coordinates):
Pa  0.8015  0.6985  0.6985
Pa  0.1985  0.3015  0.3015
Mn  0.5000  0.7577  0.2423
Mn  0.5000  0.2423  0.7577
Ge  0.0000  0.0000  0.0000

Energy above the most stable structure, in eV/atom: a 0.000; b 0.053

a | VASP calculation (PBE-GGA) on a relaxed structure of PaMn2Ge.

Output
Space group: P4/mmm, No. 123
Density: 10.54 g/cm³

a = 3.1609 Å, b = 3.1609 Å, c = 6.5219 Å
α = 90.00°, β = 90.00°, γ = 90.00°
Each line ends with the local moment (μB).
Atoms (fractional coordinates):
Mn  0.0000  0.0000  0.6925  2.34
Ge  0.5000  0.5000  0.5000  -0.13
Mn  0.0000  0.0000  0.3075  2.34
Pa  0.5000  0.5000  0.0000  -0.24

b | VASP calculation (PBE-GGA) on a relaxed structure of PaMn2Ge.

Output
Space group: R-3m, No. 166
Density: 10.18 g/cm³

a = 4.3539 Å, b = 4.3539 Å, c = 4.8173 Å
α = 63.13°, β = 63.13°, γ = 60.00°
Atoms (fractional coordinates):
Pa  0.0000  0.0000  0.0000
Mn  0.1830  0.1830  0.4510
Mn  0.8170  0.8170  0.5490
Ge  0.5000  0.5000  0.5000

Energy above the most stable structure, in eV/atom: a 0.281; b 0.000

a | VASP calculation (PBE-GGA) on a relaxed structure of PaMn2Ge.

Output
Space group: P4/mmm, No. 123
Density: 11.31 g/cm³

a = 3.3963 Å, b = 4.2274 Å, c = 4.2274 Å
α = 90.00°, β = 90.00°, γ = 90.00°
Each line ends with the local moment (μB).
Atoms (fractional coordinates):
Mn  0.0000  0.5000  0.0000  0.47
Mn  0.0000  0.0000  0.5000  0.47
Pa  0.5000  0.5000  0.5000  -0.21
Ge  0.5000  0.0000  0.0000  -0.03

b | VASP calculation (PBE-GGA) on a relaxed structure of PaMn2Ge.

Output
Space group: Fm-3m, No. 225
Density: 11.21 g/cm³

a = 4.4253 Å, b = 4.4253 Å, c = 4.4253 Å
α = 60.00°, β = 60.00°, γ = 60.00°
Each line ends with the local moment (μB).
Atoms (fractional coordinates):
Ge  0.5000  0.5000  0.5000  -0.02
Mn  0.7500  0.7500  0.7500  0.46
Pa  0.0000  0.0000  0.0000  -0.14
Mn  0.2500  0.2500  0.2500  0.46

Energy above the most stable structure, in eV/atom: a 0.000; b 0.039

a | VASP calculation (PBE-GGA) on a relaxed structure of Mn2GePb.

Output
Space group: I-42d, No. 122
Density: 7.72 g/cm³

a = 4.3774 Å, b = 4.3774 Å, c = 9.2801 Å
α = 76.36°, β = 76.36°, γ = 90.00°
Each line ends with the local moment (μB).
Atoms (fractional coordinates):
Mn  0.8750  0.8196  0.7500  3.49
Pb  0.0000  0.0000  0.0000  -0.08
Ge  0.2500  0.7500  0.5000  -0.10
Ge  0.5000  0.5000  0.0000  -0.10
Pb  0.7500  0.2500  0.5000  -0.08
Mn  0.1804  0.6250  0.2500  3.41
Mn  0.5696  0.1250  0.2500  3.40
Mn  0.3750  0.4304  0.7500  3.50

b | VASP calculation (PBE-GGA) on a relaxed structure of Mn2GePb.

Output
Space group: Fm-3m, No. 225
Density: 10.78 g/cm³

a = 4.3945 Å, b = 4.3945 Å, c = 4.3945 Å
α = 60.00°, β = 60.00°, γ = 60.00°
Atoms (fractional coordinates):
Mn  0.2500  0.2500  0.2500
Pb  0.5000  0.5000  0.5000
Ge  0.0000  0.0000  0.0000
Mn  0.7500  0.7500  0.7500

Energy above the most stable structure, in eV/atom: a 0.000; b 0.120

a | VASP calculation (PBE-GGA) on a relaxed structure of MnGe2Pd.

Output
Space group: R-3m, No. 166
Density: 7.46 g/cm³

a = 2.9691 Å, b = 2.9691 Å, c = 9.1046 Å
α = 80.62°, β = 80.62°, γ = 60.00°
Each line ends with the local moment (μB).
Atoms (fractional coordinates):
Ge  0.0916  0.0916  0.7253  -0.03
Ge  0.9084  0.9084  0.2747  -0.03
Pd  0.5000  0.5000  0.5000  0.00
Mn  0.0000  0.0000  0.0000  3.40

b | VASP calculation (PBE-GGA) on a relaxed structure of MnGe2Pd.

Output
Space group: P4/mmm, No. 123
Density: 8.34 g/cm³

a = 3.0546 Å, b = 4.4705 Å, c = 4.4705 Å
α = 90.00°, β = 90.00°, γ = 90.00°
Each line ends with the local moment (μB).
Atoms (fractional coordinates):
Ge  0.0000  0.5000  0.0000  -0.06
Mn  0.5000  0.5000  0.5000  3.14
Ge  0.0000  0.0000  0.5000  -0.06
Pd  0.5000  0.0000  0.0000  0.02

c | VASP calculation (PBE-GGA) on a relaxed structure of MnGe2Pd.

Output
Space group: Fm-3m, No. 225
Density: 8.89 g/cm³

a = 4.3268 Å, b = 4.3268 Å, c = 4.3268 Å
α = 60.00°, β = 60.00°, γ = 60.00°
Atoms (fractional coordinates):
Ge  0.2500  0.2500  0.2500
Pd  0.5000  0.5000  0.5000
Mn  0.0000  0.0000  0.0000
Ge  0.7500  0.7500  0.7500

Energy above the most stable structure, in eV/atom: a 0.188; b 0.000; c 0.175

a | VASP calculation (PBE-GGA) on a relaxed structure of MnGe2Pd.

Output
Space group: R3m, No. 160
Density: 7.68 g/cm³

a = 3.8747 Å, b = 3.8747 Å, c = 5.5665 Å
α = 69.63°, β = 69.63°, γ = 60.00°
Each line ends with the local moment (μB).
Atoms (fractional coordinates):
Mn  0.6752  0.6752  0.9743  2.86
Ge  0.0759  0.0759  0.7722  -0.10
Pd  0.4939  0.4939  0.5183  0.04
Ge  0.2549  0.2549  0.2352  -0.08

b | VASP calculation (PBE-GGA) on a relaxed structure of MnGe2Pd.

Output
Space group: I-42d, No. 122
Density: 7.44 g/cm³

a = 4.0106 Å, b = 4.0106 Å, c = 8.9691 Å
α = 77.08°, β = 77.08°, γ = 90.00°
Each line ends with the local moment (μB).
Atoms (fractional coordinates):
Mn  0.2500  0.7500  0.5000  3.45
Ge  0.1295  0.6250  0.2500  -0.07
Ge  0.6205  0.1250  0.2500  -0.07
Pd  0.0000  0.0000  0.0000  0.02
Ge  0.3750  0.3795  0.7500  -0.07
Mn  0.5000  0.5000  0.0000  3.45
Pd  0.7500  0.2500  0.5000  0.02
Ge  0.8750  0.8705  0.7500  -0.07

Energy above the most stable structure, in eV/atom: a 0.000; b 0.059

a | VASP calculation (PBE-GGA) on a relaxed structure of MnGePd5.

Output
Space group: C2/c, No. 15
Density: 9.59 g/cm³

a = 5.3322 Å, b = 5.3322 Å, c = 10.7810 Å
α = 61.99°, β = 61.99°, γ = 63.39°
Each line ends with the local moment (μB).
Atoms (fractional coordinates):
Pd  0.5764  0.8778  0.2555  0.10
Pd  0.0638  0.9362  0.2500  0.09
Ge  0.6354  0.3646  0.2500  -0.01
Pd  0.1222  0.4236  0.2445  0.10
Pd  0.5713  0.7130  0.0133  0.07
Pd  0.8778  0.5764  0.7555  0.10
Pd  0.4236  0.1222  0.7445  0.10
Pd  0.9362  0.0638  0.7500  0.09
Pd  0.2870  0.4287  0.4867  0.07
Mn  0.0000  0.0000  0.5000  4.12
Pd  0.7130  0.5713  0.5133  0.07
Pd  0.4287  0.2870  0.9867  0.07
Mn  0.0000  0.0000  0.0000  4.12
Ge  0.3646  0.6354  0.7500  -0.01

b | VASP calculation (PBE-GGA) on a relaxed structure of MnGePd5.

Output
Space group: P4/mmm, No. 123
Density: 9.88 g/cm³

a = 3.9956 Å, b = 3.9956 Å, c = 6.9431 Å
α = 90.00°, β = 90.00°, γ = 90.00°
Each line ends with the local moment (μB).
Atoms (fractional coordinates):
Pd  0.0000  0.5000  0.2185  0.04
Pd  0.5000  0.0000  0.7815  0.04
Pd  0.5000  0.5000  0.5000  0.10
Mn  0.0000  0.0000  0.5000  3.92
Ge  0.5000  0.5000  0.0000  -0.03
Pd  0.0000  0.5000  0.7815  0.04
Pd  0.5000  0.0000  0.2185  0.04

Energy above the most stable structure, in eV/atom: a 0.144; b 0.000

a | VASP calculation (PBE-GGA) on a relaxed structure of MnGe2Pd7.

Output
Space group: Cmmm, No. 65
Density: 9.08 g/cm³

a = 2.8525 Å, b = 8.9228 Å, c = 8.9228 Å
α = 130.45°, β = 90.00°, γ = 90.00°
Each line ends with the local moment (μB).
Atoms (fractional coordinates):
Pd  0.5000  0.9095  0.7036  0.13
Ge  0.5000  0.3454  0.6546  0.00
Pd  0.5000  0.7036  0.9095  0.13
Pd  0.0000  0.2221  0.7779  0.03
Pd  0.0000  0.7779  0.2221  0.03
Mn  0.0000  0.0000  0.0000  3.88
Ge  0.5000  0.6546  0.3454  0.00
Pd  0.5000  0.0905  0.2964  0.13
Pd  0.5000  0.2964  0.0905  0.13
Pd  0.5000  0.5000  0.5000  0.03

b | VASP calculation (PBE-GGA) on a relaxed structure of MnGe2Pd7.

Output
Space group: I4/mmm, No. 139
Density: 9.71 g/cm³

a = 4.0399 Å, b = 4.0399 Å, c = 10.3108 Å
α = 101.30°, β = 101.30°, γ = 90.00°
Each line ends with the local moment (μB).
Atoms (fractional coordinates):
Pd  0.9021  0.4021  0.8041  0.06
Mn  0.0000  0.0000  0.0000  4.02
Ge  0.6716  0.6716  0.3432  -0.01
Ge  0.3284  0.3284  0.6568  -0.01
Pd  0.4021  0.9021  0.8041  0.06
Pd  0.7500  0.2500  0.5000  0.02
Pd  0.2500  0.7500  0.5000  0.02
Pd  0.0979  0.5979  0.1959  0.06
Pd  0.5979  0.0979  0.1959  0.06
Pd  0.5000  0.5000  0.0000  0.16

Energy above the most stable structure, in eV/atom: a 0.302; b 0.000

a | VASP calculation (PBE-GGA) on a relaxed structure of MnGePd3.

Output
Space group: Cmce, No. 64
Density: 9.25 g/cm³

a = 5.9564 Å, b = 7.8202 Å, c = 7.8203 Å
α = 61.78°, β = 90.00°, γ = 90.00°
Each line ends with the local moment (μB).
Atoms (fractional coordinates):
Pd  0.8970  0.0106  0.1779  0.07
Mn  0.8233  0.8052  0.6948  4.04
Mn  0.6767  0.3052  0.1948  4.04
Pd  0.6030  0.5106  0.6779  0.07
Pd  0.0000  0.6005  0.1005  0.11
Pd  0.3970  0.1779  0.0106  0.07
Pd  0.1030  0.9894  0.8221  0.07
Mn  0.1767  0.1948  0.3052  4.04
Pd  0.3970  0.4894  0.3221  0.07
Pd  0.8970  0.3221  0.4894  0.07
Pd  0.6030  0.8221  0.9894  0.07
Ge  0.2500  0.8348  0.1652  -0.01
Pd  0.5000  0.8995  0.3995  0.11
Pd  0.5000  0.1005  0.6005  0.11
Pd  0.0000  0.3995  0.8995  0.11
Ge  0.7500  0.6652  0.3348  -0.01
Ge  0.2500  0.3348  0.6652  -0.01
Mn  0.3233  0.6948  0.8052  4.04
Pd  0.1030  0.6779  0.5106  0.07
Ge  0.7500  0.1652  0.8348  -0.01

b | VASP calculation (PBE-GGA) on a relaxed structure of MnGePd3.

Output
Space group: Pm-3m, No. 221
Density: 7.72 g/cm³

a = 4.5806 Å, b = 4.5806 Å, c = 4.5806 Å
α = 90.00°, β = 90.00°, γ = 90.00°
Each line ends with the local moment (μB).
Atoms (fractional coordinates):
Pd  0.0000  0.5000  0.0000  -0.06
Pd  0.0000  0.0000  0.5000  0.00
Mn  0.5000  0.5000  0.5000  -0.53
Pd  0.5000  0.0000  0.0000  -0.10
Ge  0.0000  0.0000  0.0000  -0.02

Energy above the most stable structure, in eV/atom: a 0.000; b 1.117

a | VASP calculation (PBE-GGA) on a relaxed structure of MnGePd3.

Output
Space group: Cmce, No. 64
Density: 9.49 g/cm³

a = 6.7263 Å, b = 7.1848 Å, c = 6.7263 Å
α = 90.03°, β = 74.27°, γ = 89.97°
Each line ends with the local moment (μB).
Atoms (fractional coordinates):
Ge  0.5762  0.2500  0.5762  -0.04
Ge  0.4238  0.7500  0.4238  -0.04
Pd  0.9396  0.0732  0.7995  0.12
Pd  0.5601  0.5734  0.7002  0.12
Pd  0.0470  0.6954  0.5471  0.11
Mn  0.8033  0.6029  0.3031  3.88
Pd  0.7995  0.4268  0.9396  0.12
Pd  0.0604  0.9268  0.2005  0.12
Mn  0.3031  0.8971  0.8033  3.88
Pd  0.9530  0.3046  0.4529  0.11
Ge  0.0759  0.2500  0.0759  -0.04
Pd  0.5471  0.8046  0.0470  0.11
Ge  0.9241  0.7500  0.9241  -0.04
Mn  0.1967  0.3971  0.6969  3.88
Pd  0.4399  0.4266  0.2998  0.12
Pd  0.2005  0.5732  0.0604  0.12
Mn  0.6969  0.1029  0.1967  3.88
Pd  0.4529  0.1954  0.9530  0.11
Pd  0.7002  0.9266  0.5601  0.12
Pd  0.2998  0.0734  0.4399  0.12

b | VASP calculation (PBE-GGA) on a relaxed structure of MnGePd3.

Output
Space group: Pm-3m, No. 221
Density: 7.80 g/cm³

a = 4.5651 Å, b = 4.5651 Å, c = 4.5651 Å
α = 90.00°, β = 90.00°, γ = 90.00°
Atoms (fractional coordinates):
Mn  0.0000  0.0000  0.0000
Ge  0.5000  0.5000  0.5000
Pd  0.0000  0.0000  0.5000
Pd  0.0000  0.5000  0.0000
Pd  0.5000  0.0000  0.0000

Energy above the most stable structure, in eV/atom: a 0.000; b 1.176

a | VASP calculation (PBE-GGA) on a relaxed structure of MnGe2Pd8.

Output
Space group: C2/m, No. 12
Density: 9.95 g/cm³

a = 4.4854 Å, b = 6.6818 Å, c = 6.6818 Å
α = 113.03°, β = 99.70°, γ = 99.70°
Each line ends with the local moment (μB).
Atoms (fractional coordinates):
Pd  0.3234  0.6226  0.6226  0.05
Pd  0.9039  0.9260  0.6807  0.04
Pd  0.0961  0.3193  0.0740  0.04
Pd  0.6766  0.3774  0.3774  0.05
Pd  0.5000  0.7667  0.2333  0.05
Ge  0.0000  0.3191  0.6809  -0.01
Pd  0.5000  0.2333  0.7667  0.05
Mn  0.5000  0.0000  0.0000  4.01
Ge  0.0000  0.6809  0.3191  -0.01
Pd  0.9039  0.6807  0.9260  0.04
Pd  0.0961  0.0740  0.3193  0.04

b | VASP calculation (PBE-GGA) on a relaxed structure of MnGe2Pd8.

Output
Space group: P1, No. 1
Density: 10.16 g/cm³

a = 4.6802 Å, b = 5.6787 Å, c = 7.3806 Å
α = 110.76°, β = 106.35°, γ = 95.44°
Each line ends with the local moment (μB).
Atoms (fractional coordinates):
Pd  0.7741  0.2705  0.9084  0.04
Pd  0.9470  0.9998  0.5661  0.06
Mn  0.1111  0.9151  0.9092  3.98
Pd  0.4883  0.7660  0.6760  0.05
Pd  0.7227  0.9987  0.1420  0.05
Pd  0.2925  0.5004  0.9098  0.06
Pd  0.2855  0.8533  0.2931  0.02
Pd  0.8997  0.4678  0.5257  0.02
Pd  0.2899  0.3442  0.2517  0.06
Ge  0.4318  0.2817  0.5870  -0.01
Ge  0.7575  0.6025  0.2311  -0.01

Energy above the most stable structure, in eV/atom: a 0.018; b 0.000